# 1
Material: Rb2BeTlO
Method: DFT, GGA-PBE
State: optimized geometry

```
data_Rb2BeTlO
_chemical_formula_sum 'Rb2 Be1 Tl1 O1'
_symmetry_space_group_name_H-M 'P 4/m m m'
_symmetry_Int_Tables_number 123
_symmetry_space_group_name_Hall '-P 4 2'
_cell_length_a 7.1939
_cell_length_b 7.1939
_cell_length_c 3.0763
_cell_angle_alpha 90.00
_cell_angle_beta 90.00
_cell_angle_gamma 90.00
loop_
_atom_site_label
_atom_site_fract_x
_atom_site_fract_y
_atom_site_fract_z
Rb1 0.0000 0.5000 0.0000
Be1 0.0000 0.0000 0.5000
Tl1 0.5000 0.5000 0.5000
O1 0.0000 0.0000 0.0000
```

Properties
DOS(E_F) = 2.75 states/eV/cell
Energy = -15.98 eV for the cell shown
ρ = 4.175 Mg/m³
Uncorrected formation energy = -288.6 kJ/mol of formula units

***

# 2
Material: Ba2PrSn4Au3
Method: DFT, GGA-PBE
State: optimized geometry

```
data_Ba2PrSn4Au3
_chemical_formula_sum 'Ba2 Pr1 Sn4 Au3'
_symmetry_space_group_name_H-M 'P -4 m 2'
_symmetry_Int_Tables_number 115
_cell_length_a 4.8142
_cell_length_b 4.8142
_cell_length_c 12.6586
_cell_angle_alpha 90.00
_cell_angle_beta 90.00
_cell_angle_gamma 90.00
loop_
_symmetry_equiv_pos_as_xyz
'x,y,z'
'y,-x,-z'
'-x,-y,z'
'-y,x,-z'
'-x,y,z'
'-y,-x,-z'
'x,-y,z'
'y,x,-z'
loop_
_atom_site_label
_atom_site_fract_x
_atom_site_fract_y
_atom_site_fract_z
Ba1 0.0000 0.5000 0.2345
Pr1 0.0000 0.0000 0.5000
Sn1 0.0000 0.0000 0.0000
Sn2 0.0000 0.5000 0.6562
Sn3 0.5000 0.5000 0.0000
Au1 0.0000 0.5000 0.8764
Au2 0.5000 0.5000 0.5000
```

Properties
DOS(E_F) = 6.69 states/eV/cell
Energy = -40.53 eV for the cell shown
ρ = 8.384 Mg/m³

***

> Which value of DOS(E_F) does entry 1 give?

2.75 states/eV/cell

***

> Among the records above, which one has the highest energy?

Rb2BeTlO